Computed, not measured: a relaxed structure of PmDy8Mg2 at the PBE level of DFT.

Cell: 8.2446 8.2446 5.6066 Å, 98.27 98.27 88.33°
With the nearest neighbours (Å) after each atom.
Fractional coordinates of all 11 atoms:
Pm1 0.0000 0.0000 0.0000  4 Mg 3.15-3.28, 6 Dy 3.17-3.46
Dy1 0.1347 0.6409 0.2207  1 Mg 3.16, 1 Dy 3.21, 1 Pm 3.46
Dy2 0.2735 0.2735 0.1189  2 Mg 3.15-3.31, 5 Dy 3.17-3.51, 1 Pm 3.17
Dy3 0.3591 0.8653 0.7793  1 Mg 3.16, 1 Dy 3.21, 1 Pm 3.46
Dy4 0.4245 0.4245 0.7123  5 Dy 3.17-3.51, 1 Mg 3.36
Dy5 0.5755 0.5755 0.2877  5 Dy 3.17-3.51, 1 Mg 3.36
Dy6 0.6409 0.1347 0.2207  1 Mg 3.16, 1 Dy 3.21, 1 Pm 3.46
Dy7 0.7265 0.7265 0.8811  2 Mg 3.15-3.31, 5 Dy 3.17-3.51, 1 Pm 3.17
Dy8 0.8653 0.3591 0.7793  1 Mg 3.16, 1 Dy 3.21, 1 Pm 3.46
Mg1 0.1352 0.1352 0.5437  1 Mg 3.14, 2 Pm 3.15-3.28, 5 Dy 3.15-3.36
Mg2 0.8648 0.8648 0.4563  1 Mg 3.14, 2 Pm 3.15-3.28, 5 Dy 3.15-3.36

E above lowest polymorph in eV/atom: 0.3948
Space group: C2/m
DOS(E_F) in states/eV per cell: 15.23
Raw total energy in eV per atom: -3.66
Theoretical density in Mg/m³: 6.6